# 1
Material: ReMo
Method: DFT, PBE-GGA
State: optimized geometry

Cell: 4.4459 4.4459 6.2520 Å, 90.00 90.00 90.00°
Fractional positions:
Re  0.0000  0.0000  0.0000
Re  0.5000  0.5000  0.0000
Re  0.0000  0.5000  0.7436
Re  0.5000  0.0000  0.2564
Mo  0.0000  0.5000  0.2491
Mo  0.5000  0.0000  0.7509
Mo  0.0000  0.0000  0.5000
Mo  0.5000  0.5000  0.5000

Summary:
Uncorrected energy = -11.54 eV per atom
Formation enthalpy at 0 K = 0.100 eV per atom
Size of the total moment = 0.00 μB per atom
Calculated density = 15.2 Mg/m³
Space-group type = No. 129
Offset from the most stable computed form = 7.8 meV/atom

# 2
Material: CeS3O12
Method: DFT, PBE-GGA
State: optimized geometry

Cell: 8.3828 8.3828 9.6903 Å, 64.37 64.37 60.00°
Last column: magnetic moment on the atom in μB.
Fractional positions:
Ce  0.0591  0.0591  0.8226  -0.10
Ce  0.5591  0.5591  0.3226  -0.10
S  0.6940  0.3412  0.0003  -0.02
S  0.1940  0.4645  0.5003  -0.02
S  0.8412  0.1940  0.5003  -0.02
S  0.3412  0.9645  0.0003  -0.02
S  0.9645  0.6940  0.0003  -0.02
S  0.4645  0.8412  0.5003  -0.02
O  0.1274  0.0731  0.0416  0.15
O  0.1926  0.2854  0.6317  0.11
O  0.9427  0.0085  0.4676  0.23
O  0.8503  0.3851  0.8554  0.14
O  0.3503  0.4092  0.3554  0.14
O  0.4427  0.0813  0.9676  0.23
O  0.6926  0.3903  0.1317  0.11
O  0.0085  0.5813  0.4676  0.23
O  0.6274  0.2579  0.5416  0.15
O  0.8903  0.1926  0.6317  0.11
O  0.8851  0.3503  0.3554  0.14
O  0.2579  0.5731  0.5416  0.15
O  0.0813  0.5085  0.9676  0.23
O  0.7579  0.1274  0.0416  0.15
O  0.3851  0.9092  0.8554  0.14
O  0.3903  0.7854  0.1317  0.11
O  0.7854  0.6926  0.1317  0.11
O  0.5085  0.4427  0.9676  0.23
O  0.5731  0.6274  0.5416  0.15
O  0.9092  0.8503  0.8554  0.14
O  0.4092  0.8851  0.3554  0.14
O  0.0731  0.7579  0.0416  0.15
O  0.2854  0.8903  0.6317  0.11
O  0.5813  0.9427  0.4676  0.23

Summary:
Uncorrected energy = -6.33 eV per atom
Energy relative to the elements, uncorrected = -23.5 eV/f.u.
Size of the total moment = 0.13 μB per atom
Calculated density = 2.8 Mg/m³
Space-group type = No. 161

# 3
Material: V2BiPt2
Method: DFT, PBE-GGA
State: optimized geometry

Cell: 7.8112 7.8112 2.8918 Å, 90.00 90.00 90.00°
Last column: magnetic moment on the atom in μB.
Fractional positions:
Bi  0.0000  0.0000  0.0000  -0.04
Bi  0.5000  0.5000  0.0000  -0.04
Pt  0.3720  0.8720  0.0000  -0.01
Pt  0.8720  0.6280  0.0000  -0.01
Pt  0.6280  0.1280  0.0000  -0.01
Pt  0.1280  0.3720  0.0000  -0.01
V  0.1630  0.6630  0.5000  1.41
V  0.6630  0.8370  0.5000  1.41
V  0.8370  0.3370  0.5000  1.41
V  0.3370  0.1630  0.5000  1.41

Summary:
Uncorrected energy = -6.94 eV per atom
Formation enthalpy at 0 K = -0.100 eV per atom
Size of the total moment = 0.63 μB per atom
Calculated density = 13.2 Mg/m³
Space-group type = No. 127
Offset from the most stable computed form = 0.0 meV/atom

# 4
Material: CdOsAu2
Method: DFT, PBE-GGA
State: optimized geometry

Cell: 2.8511 2.8511 10.0278 Å, 90.00 90.00 120.04°
Last column: magnetic moment on the atom in μB.
Fractional positions:
Os  0.5000  0.5000  0.7500  0.42
Au  0.0000  0.0000  0.9924  0.00
Au  0.0000  0.0000  0.5076  0.00
Cd  0.5000  0.5000  0.2500  0.00

Summary:
Uncorrected energy = -4.25 eV per atom
Formation enthalpy at 0 K = 0.425 eV per atom
Size of the total moment = 0.11 μB per atom
Calculated density = 16.4 Mg/m³
Space-group type = No. 65

# 5
Material: AgIr3Rh
Method: DFT, PBE-GGA
State: optimized geometry

Cell: 4.7173 4.7173 4.7173 Å, 90.00 90.00 90.00°
Fractional positions:
Ir  0.0000  0.5000  0.0000
Ir  0.0000  0.0000  0.5000
Ir  0.5000  0.0000  0.0000
Rh  0.0000  0.0000  0.0000
Ag  0.5000  0.5000  0.5000

Summary:
Uncorrected energy = -5.44 eV per atom
Formation enthalpy at 0 K = 1.920 eV per atom
Size of the total moment = 0.00 μB per atom
Calculated density = 12.5 Mg/m³
Space-group type = No. 221
Offset from the most stable computed form = 0.0 meV/atom

# 6
Material: AcY8Tm2
Method: DFT, PBE-GGA
State: optimized geometry

Cell: 5.5180 10.3616 10.3616 Å, 39.77 92.80 92.80°
Fractional positions:
Ac  0.0000  0.0000  0.0000
Y  0.2698  0.1316  0.5939
Y  0.2698  0.5939  0.1316
Y  0.7302  0.8684  0.4061
Y  0.2393  0.5479  0.5479
Y  0.7302  0.4061  0.8684
Y  0.2356  0.1912  0.1912
Y  0.7644  0.8088  0.8088
Y  0.7607  0.4521  0.4521
Tm  0.7539  0.2854  0.2854
Tm  0.2461  0.7146  0.7146

Summary:
Uncorrected energy = -5.77 eV per atom
Formation enthalpy at 0 K = 0.120 eV per atom
Size of the total moment = 0.00 μB per atom
Calculated density = 5.6 Mg/m³
Space-group type = No. 12
Offset from the most stable computed form = 0.0 meV/atom

# 7
Material: Li2FeS2
Method: DFT, PBE-GGA
State: optimized geometry

Cell: 8.4148 3.3940 6.2268 Å, 71.74 90.00 90.00°
Last column: magnetic moment on the atom in μB.
Fractional positions:
Li  0.8465  0.6929  0.5441  0.01
Li  0.3465  0.3071  0.9559  0.01
Li  0.6535  0.6929  0.0441  0.01
Li  0.1535  0.3071  0.4559  0.01
Fe  0.5000  0.0000  0.5000  3.11
Fe  0.0000  0.0000  0.0000  3.11
S  0.1007  0.6317  0.7604  0.09
S  0.3993  0.6317  0.2604  0.09
S  0.6007  0.3683  0.7396  0.09
S  0.8993  0.3683  0.2396  0.09

Summary:
Uncorrected energy = -4.85 eV per atom
Energy relative to the elements, uncorrected = -3.7 eV/f.u.
Size of the total moment = 0.71 μB per atom
Calculated density = 2.6 Mg/m³
Space-group type = No. 14
Offset from the most stable computed form = 146.6 meV/atom

# 8
Material: MgNiIr
Method: DFT, PBE-GGA
State: optimized geometry

Cell: 4.2846 4.2846 2.6324 Å, 90.00 90.00 120.00°
Last column: magnetic moment on the atom in μB.
Fractional positions:
Ir  0.0000  0.0000  0.0035  0.16
Mg  0.3333  0.6667  0.4473  0.00
Ni  0.6667  0.3333  0.5493  0.22

Summary:
Uncorrected energy = -5.42 eV per atom
Formation enthalpy at 0 K = -0.009 eV per atom
Size of the total moment = 0.12 μB per atom
Calculated density = 10.9 Mg/m³
Space-group type = No. 156
Offset from the most stable computed form = 262.5 meV/atom

# 9
Material: NdSm2Tm6
Method: DFT, PBE-GGA
State: optimized geometry

Cell: 3.4490 9.7198 9.7198 Å, 59.99 90.00 90.00°
Fractional positions:
Nd  0.5000  0.5000  0.5000
Sm  0.5000  0.1667  0.1667
Sm  0.5000  0.8333  0.8333
Tm  0.0002  0.5000  0.1660
Tm  0.9998  0.5000  0.8340
Tm  0.9998  0.8340  0.5000
Tm  0.0000  0.1661  0.8339
Tm  0.0000  0.8339  0.1661
Tm  0.0002  0.1660  0.5000

Summary:
Uncorrected energy = -4.48 eV per atom
Formation enthalpy at 0 K = 0.080 eV per atom
Size of the total moment = 0.00 μB per atom
Calculated density = 8.6 Mg/m³
Space-group type = No. 191
Offset from the most stable computed form = 0.0 meV/atom

# 10
Material: LiAlCu2I
Method: DFT, PBE-GGA
State: optimized geometry

Cell: 4.6308 5.1590 4.6308 Å, 90.00 90.00 90.00°
Fractional positions:
I  0.0000  0.5000  0.0000
Al  0.5000  0.5000  0.5000
Cu  0.0000  0.0000  0.5000
Cu  0.5000  0.0000  0.0000
Li  0.0000  0.0000  0.0000

Summary:
Uncorrected energy = -2.43 eV per atom
Energy relative to the elements, uncorrected = 3.2 eV/f.u.
Size of the total moment = 0.00 μB per atom
Calculated density = 4.3 Mg/m³
Space-group type = No. 123

# 11
Material: Na2TlPPd
Method: DFT, PBE-GGA
State: optimized geometry

Cell: 5.4096 5.4096 4.4759 Å, 90.00 90.00 90.00°
Fractional positions:
P  0.0000  0.0000  0.0000
Tl  0.5000  0.5000  0.5000
Pd  0.0000  0.0000  0.5000
Na  0.0000  0.5000  0.0000
Na  0.5000  0.0000  0.0000

Summary:
Uncorrected energy = -3.31 eV per atom
Formation enthalpy at 0 K = -0.187 eV per atom
Size of the total moment = 0.00 μB per atom
Calculated density = 4.9 Mg/m³
Space-group type = No. 123

# 12
Material: Dy3YAl8
Method: DFT, PBE-GGA
State: optimized geometry

Cell: 5.5503 5.5503 9.1273 Å, 90.00 90.00 120.00°
Fractional positions:
Dy  0.6667  0.3333  0.4318
Dy  0.6667  0.3333  0.0680
Dy  0.0000  0.0000  0.9327
Y  0.0000  0.0000  0.5677
Al  0.3333  0.6667  0.4999
Al  0.3333  0.6667  0.9999
Al  0.5045  0.0091  0.7502
Al  0.5045  0.4955  0.7502
Al  0.9909  0.4955  0.7502
Al  0.1622  0.3243  0.2499
Al  0.1622  0.8378  0.2499
Al  0.6757  0.8378  0.2499

Summary:
Uncorrected energy = -4.70 eV per atom
Formation enthalpy at 0 K = -0.513 eV per atom
Size of the total moment = 0.00 μB per atom
Calculated density = 5.4 Mg/m³
Space-group type = No. 156
Offset from the most stable computed form = 9.1 meV/atom

# 13
Material: Li2Ce2Ge
Method: DFT, PBE-GGA
State: optimized geometry

Cell: 3.8295 3.8295 9.2510 Å, 101.95 101.95 90.00°
Last column: magnetic moment on the atom in μB.
Fractional positions:
Li  0.7500  0.2500  0.5000  0.01
Li  0.2500  0.7500  0.5000  0.01
Ce  0.4211  0.4211  0.8422  0.87
Ce  0.5789  0.5789  0.1578  0.87
Ge  0.0000  0.0000  0.0000  -0.04

Summary:
Uncorrected energy = -4.16 eV per atom
Formation enthalpy at 0 K = -0.100 eV per atom
Size of the total moment = 0.44 μB per atom
Calculated density = 4.7 Mg/m³
Space-group type = No. 139

# 14
Material: CsRb2TcI6
Method: DFT, PBE-GGA
State: optimized geometry

Cell: 8.9413 8.9413 8.9412 Å, 60.00 60.00 90.00°
Last column: magnetic moment on the atom in μB.
Fractional positions:
Cs  0.0000  0.0000  0.0000  -0.01
I  0.2824  0.2824  0.4351  0.01
I  0.7176  0.7176  0.5649  0.01
I  0.2824  0.2824  0.0000  0.01
I  0.7176  0.7176  0.0000  0.01
I  0.7176  0.2824  0.0000  0.01
I  0.2824  0.7176  0.0000  0.01
Tc  0.5000  0.5000  0.0000  1.60
Rb  0.7500  0.2500  0.5000  0.00
Rb  0.2500  0.7500  0.5000  0.00

Summary:
Uncorrected energy = -3.06 eV per atom
Energy relative to the elements, uncorrected = -8.1 eV/f.u.
Size of the total moment = 0.20 μB per atom
Calculated density = 3.8 Mg/m³
Space-group type = No. 225

# 15
Material: Co2NiPb
Method: DFT, PBE-GGA
State: optimized geometry

Cell: 4.3819 3.0132 4.5682 Å, 87.06 90.00 90.00°
Last column: magnetic moment on the atom in μB.
Fractional positions:
Co  0.0000  0.9935  0.0525  1.62
Co  0.0000  0.5065  0.4475  1.62
Ni  0.5000  0.2500  0.2500  0.19
Pb  0.5000  0.7500  0.7500  -0.03

Summary:
Uncorrected energy = -5.41 eV per atom
Formation enthalpy at 0 K = 0.520 eV per atom
Size of the total moment = 0.83 μB per atom
Calculated density = 10.6 Mg/m³
Space-group type = No. 10

# 16
Material: Be4HgW
Method: DFT, PBE-GGA
State: optimized geometry

Cell: 4.6008 4.6008 4.6008 Å, 60.00 60.00 60.00°
Fractional positions:
Be  0.8931  0.3690  0.3690
Be  0.3690  0.3690  0.8931
Be  0.3690  0.8931  0.3690
Be  0.3690  0.3690  0.3690
Hg  0.7500  0.7500  0.7500
W  0.0000  0.0000  0.0000

Summary:
Uncorrected energy = -4.34 eV per atom
Formation enthalpy at 0 K = 0.358 eV per atom
Size of the total moment = 0.00 μB per atom
Calculated density = 10.1 Mg/m³
Space-group type = No. 216

# 17
Material: TlZnHg2Te
Method: DFT, PBE-GGA
State: optimized geometry

Cell: 5.2919 5.2919 5.5734 Å, 90.00 90.00 90.00°
Fractional positions:
Zn  0.0000  0.0000  0.0000
Tl  0.5000  0.5000  0.5000
Te  0.0000  0.0000  0.5000
Hg  0.0000  0.5000  0.0000
Hg  0.5000  0.0000  0.0000

Summary:
Uncorrected energy = -1.50 eV per atom
Energy relative to the elements, uncorrected = -0.1 eV/f.u.
Size of the total moment = 0.00 μB per atom
Calculated density = 8.5 Mg/m³
Space-group type = No. 123

# 18
Material: Cd2In
Method: DFT, PBE-GGA
State: optimized geometry

Cell: 14.2430 14.2430 14.2430 Å, 166.83 166.83 18.67°
Fractional positions:
Cd  0.5807  0.5807  0.0000
Cd  0.1693  0.6693  0.5000
Cd  0.4193  0.4193  0.0000
Cd  0.3307  0.8307  0.5000
In  0.0000  0.0000  0.0000
In  0.7500  0.2500  0.5000

Summary:
Uncorrected energy = -1.48 eV per atom
Formation enthalpy at 0 K = 0.046 eV per atom
Size of the total moment = 0.00 μB per atom
Calculated density = 7.5 Mg/m³
Space-group type = No. 141

# 19
Material: LaZn2CuAu5
Method: DFT, PBE-GGA
State: optimized geometry

Cell: 4.9579 4.9579 7.4139 Å, 90.00 90.00 90.00°
Fractional positions:
La  0.0000  0.0000  0.5000
Zn  0.5000  0.5000  0.1609
Zn  0.5000  0.5000  0.8391
Cu  0.0000  0.0000  0.0000
Au  0.0000  0.5000  0.2064
Au  0.5000  0.0000  0.2064
Au  0.0000  0.5000  0.7936
Au  0.5000  0.0000  0.7936
Au  0.5000  0.5000  0.5000

Summary:
Uncorrected energy = -3.30 eV per atom
Formation enthalpy at 0 K = -0.189 eV per atom
Size of the total moment = 0.00 μB per atom
Calculated density = 12.0 Mg/m³
Space-group type = No. 123

# 20
Material: Rb3Y3InSe8
Method: DFT, PBE-GGA
State: optimized geometry

Cell: 8.2883 8.2884 9.5273 Å, 115.78 90.00 120.00°
Fractional positions:
Rb  0.0000  0.0000  0.0000
Rb  0.0000  0.5000  0.0000
Rb  0.5000  0.5000  0.0000
Y  0.5000  0.0000  0.5000
Y  0.5000  0.5000  0.5000
Y  0.0000  0.5000  0.5000
In  0.0000  0.0000  0.5000
Se  0.2678  0.5356  0.3036
Se  0.7322  0.4644  0.6964
Se  0.7715  0.5430  0.3076
Se  0.2285  0.4570  0.6924
Se  0.7711  0.0361  0.3074
Se  0.2289  0.9639  0.6926
Se  0.2650  0.0361  0.3074
Se  0.7350  0.9639  0.6926

Summary:
Uncorrected energy = -4.95 eV per atom
Energy relative to the elements, uncorrected = -21.3 eV/f.u.
Size of the total moment = 0.00 μB per atom
Calculated density = 4.3 Mg/m³
Space-group type = No. 166

# 21
Material: BeRuBr2
Method: DFT, PBE-GGA
State: optimized geometry

Cell: 7.8820 7.8820 7.8820 Å, 24.15 24.15 24.15°
Fractional positions:
Ru  0.0000  0.0000  0.0000
Br  0.8941  0.8941  0.8941
Br  0.1059  0.1059  0.1059
Be  0.5000  0.5000  0.5000

Summary:
Uncorrected energy = -3.66 eV per atom
Energy relative to the elements, uncorrected = 1.7 eV/f.u.
Size of the total moment = 0.00 μB per atom
Calculated density = 6.2 Mg/m³
Space-group type = No. 166
Offset from the most stable computed form = 432.2 meV/atom

# 22
Material: CeNiSn2
Method: DFT, PBE-GGA
State: optimized geometry

Cell: 3.2334 3.2334 10.5164 Å, 81.16 81.16 60.00°
Last column: magnetic moment on the atom in μB.
Fractional positions:
Ni  0.5000  0.5000  0.5000  0.01
Sn  0.1050  0.1050  0.6852  0.01
Sn  0.8950  0.8950  0.3148  0.01
Ce  0.0000  0.0000  0.0000  0.65

Summary:
Uncorrected energy = -4.86 eV per atom
Formation enthalpy at 0 K = 0.068 eV per atom
Size of the total moment = 0.23 μB per atom
Calculated density = 7.7 Mg/m³
Space-group type = No. 166
Offset from the most stable computed form = 600.9 meV/atom

# 23
Material: RbLiBrF6
Method: DFT, PBE-GGA
State: optimized geometry

Cell: 5.8338 5.2247 6.0040 Å, 86.55 90.62 64.37°
Last column: magnetic moment on the atom in μB.
Fractional positions:
Rb  0.9523  0.9822  0.0279  0.00
Li  0.7108  0.5971  0.4535  0.00
Br  0.3340  0.3254  0.5127  0.39
F  0.9706  0.4285  0.2577  0.18
F  0.3113  0.0593  0.7246  0.04
F  0.6621  0.3895  0.6986  0.24
F  0.0725  0.6223  0.6493  0.02
F  0.3901  0.5870  0.3035  0.01
F  0.5961  0.0088  0.3721  0.02

Summary:
Uncorrected energy = -3.52 eV per atom
Energy relative to the elements, uncorrected = -15.9 eV/f.u.
Size of the total moment = 0.11 μB per atom
Calculated density = 2.9 Mg/m³
Space-group type = No. 1

# 24
Material: Tb2In3Pb3
Method: DFT, PBE-GGA
State: optimized geometry

Cell: 4.9576 4.6924 9.3243 Å, 90.00 90.00 90.00°
Fractional positions:
Tb  0.0000  0.0000  0.7536
Tb  0.0000  0.0000  0.2464
In  0.5000  0.5000  0.7579
In  0.5000  0.5000  0.2421
In  0.5000  0.0000  0.0000
Pb  0.5000  0.0000  0.5000
Pb  0.0000  0.5000  0.0000
Pb  0.0000  0.5000  0.5000

Summary:
Uncorrected energy = -3.92 eV per atom
Formation enthalpy at 0 K = -0.342 eV per atom
Size of the total moment = 0.00 μB per atom
Calculated density = 9.8 Mg/m³
Space-group type = No. 47